No. 1
A plane-wave DFT calculation with PBE was carried out for ReOs4W after structural relaxation.

Calculated values
SG	F-43m (216)
polymorph energy (0 for the lowest one)	2.49	eV/f.u.

The structure in extended XYZ format:
```
6
Lattice="-2.445 -0.581 4.420 -4.976 -1.043 0.035 -1.623 -4.604 1.421" Properties=species:S:1:pos:R:3 pbc="T T T"
Re -6.782 -4.670 4.407
Os -4.613 -2.626 4.411
Os -4.203 -4.635 2.914
Os -5.877 -2.857 2.222
Os -3.393 -2.336 2.204
W 0.000 0.000 0.000
```

---

No. 2
A plane-wave DFT calculation with PBE was carried out for Na2ZnIn6 after structural relaxation.

Calculated values
SG	C2/m (12)
polymorph energy (0 for the lowest one)	0.38	eV/f.u.

The structure in extended XYZ format:
```
9
Lattice="3.244 0.002 0.005 0.013 7.885 4.529 0.012 0.012 9.093" Properties=species:S:1:pos:R:3 pbc="T T T"
Na 0.008 2.632 4.540
Na 3.261 5.267 9.087
Zn 0.000 0.000 0.000
In 1.625 5.290 3.041
In 1.645 7.890 7.525
In 1.644 2.609 10.587
In 1.635 5.292 6.036
In 1.624 0.009 6.102
In 1.634 2.607 7.592
```

---

No. 3
A plane-wave DFT calculation with PBE was carried out for Tb3Pm7Y2 after structural relaxation.

Calculated values
SG	Cmmm (65)
polymorph energy (0 for the lowest one)	0.91	eV/f.u.

The structure in extended XYZ format:
```
12
Lattice="-0.249 2.694 -2.413 3.326 -3.110 -3.815 -17.389 -6.381 -5.331" Properties=species:S:1:pos:R:3 pbc="T T T"
Tb 1.538 -0.208 -3.114
Tb -3.221 -2.610 -5.304
Tb -11.091 -4.188 -6.254
Pm -13.424 -6.775 -6.179
Pm -5.597 -5.219 -5.249
Pm 0.000 0.000 0.000
Pm -0.639 -2.717 -2.967
Pm -3.007 -0.108 -2.533
Pm -11.305 -6.690 -9.026
Pm -8.466 -4.272 -3.897
Y -8.498 -6.683 -6.584
Y -5.565 -2.809 -2.562
```

---

No. 4
A plane-wave DFT calculation with PBE was carried out for DyYP2 after structural relaxation.

Calculated values
SG	R3m (160)
polymorph energy (0 for the lowest one)	0.68	eV/f.u.

The structure in extended XYZ format:
```
4
Lattice="3.972 0.000 0.000 1.986 3.440 0.000 1.986 1.147 6.823" Properties=species:S:1:pos:R:3 pbc="T T T"
Dy 5.958 3.440 6.772
Y 3.972 2.293 3.459
P 1.986 1.147 5.145
P 1.986 1.147 1.681
```

---

No. 5
A plane-wave DFT calculation with PBE was carried out for BaY3 after structural relaxation.

Calculated values
SG	I4/mmm (139)
polymorph energy (0 for the lowest one)	0.42	eV/f.u.

The structure in extended XYZ format:
```
4
Lattice="6.428 -0.001 0.000 2.043 6.095 0.000 -4.236 -3.047 3.755" Properties=species:S:1:pos:R:3 pbc="T T T"
Ba 0.000 0.000 0.000
Y 1.021 3.048 1.877
Y 4.236 3.047 0.000
Y 3.214 -0.001 1.877
```

---

No. 6
A plane-wave DFT calculation with PBE was carried out for MgCoIrW after structural relaxation.

Calculated values
SG	F-43m (216)

The structure in extended XYZ format:
```
4
Lattice="4.347 0.000 0.000 2.173 3.764 0.000 2.173 1.255 3.549" Properties=species:S:1:pos:R:3 pbc="T T T"
Mg 6.520 3.764 2.662
Ir 0.000 0.000 0.000
Co 4.347 2.510 1.775
W 2.173 1.255 0.887
```

---

no.,total DFT energy (no corrections) (eV per cell),calculated formation energy (eV/atom)
1,-66.86,0.577
2,-20.39,-0.005
3,-58.31,0.147
4,-27.70,-1.453
5,-20.33,0.246
6,-30.85,-0.085